# BPt4 | Alexandria | PBE-GGA | relaxed
data_BPt4
_cell_length_a 5.5569
_cell_length_b 10.1049
_cell_length_c 5.2049
_cell_angle_alpha 90.00
_cell_angle_beta 90.00
_cell_angle_gamma 90.00
_symmetry_space_group_name_H-M 'C c c e'
_symmetry_Int_Tables_number 68
loop_
_symmetry_equiv_pos_as_xyz
'x,y,z'
'-x,-y,-z'
'-x+1/2,-y,z'
'x+1/2,y,-z'
'x+1/2,-y,-z+1/2'
'-x+1/2,y,z+1/2'
'-x,y,-z+1/2'
'x,-y,z+1/2'
'x+1/2,y+1/2,z'
'-x+1/2,-y+1/2,-z'
'-x,-y+1/2,z'
'x,y+1/2,-z'
'x,-y+1/2,-z+1/2'
'-x,y+1/2,z+1/2'
'-x+1/2,y+1/2,-z+1/2'
'x+1/2,-y+1/2,z+1/2'
loop_
_atom_site_label
_atom_site_type_symbol
_atom_site_fract_x
_atom_site_fract_y
_atom_site_fract_z
_atom_site_occupancy
B1 B 0.0000 0.2500 0.2500 1
Pt1 Pt 0.1308 0.1204 0.5173 1
# Energy relative to the lowest polymorph listed for this composition ... 0.3 meV/atom
# ΔH_f (0 K) ... -10 kJ/mol of atoms
# D(E_F) ... 4.5 states/eV/f.u.
# M_tot ... 0.00 μB/cell


# SmTmIrPd | Alexandria | PBE-GGA | relaxed
data_SmTmIrPd
_cell_length_a 6.9578
_cell_length_b 6.9578
_cell_length_c 6.9578
_cell_angle_alpha 90.00
_cell_angle_beta 90.00
_cell_angle_gamma 90.00
_symmetry_space_group_name_H-M 'F -4 3 m'
_symmetry_Int_Tables_number 216
_symmetry_space_group_name_Hall 'F -4 2 3'
loop_
_atom_site_label
_atom_site_type_symbol
_atom_site_fract_x
_atom_site_fract_y
_atom_site_fract_z
_atom_site_occupancy
Sm1 Sm 0.0000 0.0000 0.0000 1
Tm1 Tm 0.0000 0.0000 0.5000 1
Ir1 Ir 0.2500 0.2500 0.7500 1
Pd1 Pd 0.2500 0.2500 0.2500 1
# ΔH_f (0 K) ... -83 kJ/mol of atoms
# D(E_F) ... 1.7 states/eV/f.u.
# M_tot ... 0.00 μB/cell


# RbNbBr6 | Alexandria | PBE-GGA | relaxed
data_RbNbBr6
_cell_length_a 8.6879
_cell_length_b 10.5089
_cell_length_c 6.9237
_cell_angle_alpha 90.00
_cell_angle_beta 109.17
_cell_angle_gamma 90.00
_symmetry_space_group_name_H-M 'C 1 2/m 1'
_symmetry_Int_Tables_number 12
_symmetry_space_group_name_Hall '-C 2y'
loop_
_atom_site_label
_atom_site_type_symbol
_atom_site_fract_x
_atom_site_fract_y
_atom_site_fract_z
_atom_site_occupancy
Rb1 Rb 0.0000 0.0000 0.0000 1
Nb1 Nb 0.0000 0.5000 0.5000 1
Br1 Br 0.1032 0.3288 0.7728 1
Br2 Br 0.2254 0.0000 0.5581 1
# Energy relative to the lowest polymorph listed for this composition ... 0.0 meV/atom
# M_tot ... 0.00 μB/cell


# Li3Np3GaS8 | Alexandria | PBE-GGA | relaxed
data_Li3Np3GaS8
_cell_length_a 7.7871
_cell_length_b 7.7871
_cell_length_c 18.2473
_cell_angle_alpha 90.00
_cell_angle_beta 90.00
_cell_angle_gamma 120.00
_symmetry_space_group_name_H-M 'R -3 m'
_symmetry_Int_Tables_number 166
_symmetry_space_group_name_Hall '-R 3 2"'
loop_
_atom_site_label
_atom_site_type_symbol
_atom_site_fract_x
_atom_site_fract_y
_atom_site_fract_z
_atom_site_occupancy
Li1 Li 0.0000 0.5000 0.0000 1
Np1 Np 0.0000 0.5000 0.5000 1
Ga1 Ga 0.0000 0.0000 0.5000 1
S1 S 0.0000 0.0000 0.2507 1
S2 S 0.0201 0.5101 0.2452 1
# D(E_F) ... 27.6 states/eV/f.u.
# M_tot ... 32.77 μB/cell
# Total DFT energy (no corrections) ... -6.563 eV per atom


# CsP2H6Se2 | Alexandria | PBE-GGA | relaxed
data_CsP2H6Se2
_cell_length_a 5.8087
_cell_length_b 5.8855
_cell_length_c 7.3778
_cell_angle_alpha 105.55
_cell_angle_beta 104.24
_cell_angle_gamma 108.52
_symmetry_space_group_name_H-M 'P -1'
_symmetry_Int_Tables_number 2
_symmetry_space_group_name_Hall '-P 1'
loop_
_atom_site_label
_atom_site_type_symbol
_atom_site_fract_x
_atom_site_fract_y
_atom_site_fract_z
_atom_site_occupancy
Cs1 Cs 0.0000 0.0000 0.0000 1
P1 P 0.4360 0.1558 0.5880 1
H1 H 0.1376 0.5051 0.5939 1
H2 H 0.2995 0.6740 0.2881 1
H3 H 0.3978 0.0304 0.7260 1
Se1 Se 0.2854 0.5177 0.7944 1
# D(E_F) ... 1.5 states/eV/f.u.
# M_tot ... 1.01 μB/cell
# Total DFT energy (no corrections) ... -3.683 eV per atom


# Zr5Cd3 | Alexandria | PBE-GGA | relaxed
data_Zr5Cd3
_cell_length_a 8.8101
_cell_length_b 8.9305
_cell_length_c 4.4916
_cell_angle_alpha 90.00
_cell_angle_beta 90.00
_cell_angle_gamma 90.00
_symmetry_space_group_name_H-M 'C m m m'
_symmetry_Int_Tables_number 65
_symmetry_space_group_name_Hall '-C 2 2'
loop_
_atom_site_label
_atom_site_type_symbol
_atom_site_fract_x
_atom_site_fract_y
_atom_site_fract_z
_atom_site_occupancy
Zr1 Zr 0.0000 0.0000 0.0000 1
Zr2 Zr 0.2436 0.0000 0.5000 1
Zr3 Zr 0.2500 0.2500 0.0000 1
Cd1 Cd 0.0000 0.2537 0.5000 1
Cd2 Cd 0.0000 0.5000 0.0000 1
# Energy relative to the lowest polymorph listed for this composition ... 52.1 meV/atom
# ΔH_f (0 K) ... -6 kJ/mol of atoms
# D(E_F) ... 8.2 states/eV/f.u.
# M_tot ... 0.00 μB/cell


# TaRh2Br | Alexandria | PBE-GGA | relaxed
data_TaRh2Br
_cell_length_a 3.4092
_cell_length_b 3.4092
_cell_length_c 6.6651
_cell_angle_alpha 90.00
_cell_angle_beta 90.00
_cell_angle_gamma 90.00
_symmetry_space_group_name_H-M 'P 4 m m'
_symmetry_Int_Tables_number 99
_symmetry_space_group_name_Hall 'P 4 -2'
loop_
_atom_site_label
_atom_site_type_symbol
_atom_site_fract_x
_atom_site_fract_y
_atom_site_fract_z
_atom_site_occupancy
Ta1 Ta 0.0000 0.0000 0.0000 1
Rh1 Rh 0.0000 0.0000 0.6425 1
Rh2 Rh 0.5000 0.5000 0.8564 1
Br1 Br 0.5000 0.5000 0.3255 1
# Energy relative to the lowest polymorph listed for this composition ... 392.8 meV/atom
# D(E_F) ... 2.0 states/eV/f.u.
# M_tot ... 0.00 μB/cell


# HfBAu | Alexandria | PBE-GGA | relaxed
data_HfBAu
_cell_length_a 3.4475
_cell_length_b 4.7242
_cell_length_c 5.7114
_cell_angle_alpha 90.00
_cell_angle_beta 90.00
_cell_angle_gamma 90.00
_symmetry_space_group_name_H-M 'P m m 2'
_symmetry_Int_Tables_number 25
_symmetry_space_group_name_Hall 'P 2 -2'
loop_
_atom_site_label
_atom_site_type_symbol
_atom_site_fract_x
_atom_site_fract_y
_atom_site_fract_z
_atom_site_occupancy
Hf1 Hf 0.0000 0.0000 0.0000 1
Hf2 Hf 0.0000 0.5000 0.4057 1
B1 B 0.5000 0.1862 0.2371 1
Au1 Au 0.5000 0.0000 0.6029 1
Au2 Au 0.5000 0.5000 0.9024 1
# ΔH_f (0 K) ... -29 kJ/mol of atoms
# D(E_F) ... 1.5 states/eV/f.u.
# M_tot ... 0.00 μB/cell


Question: What is the M_tot in the second record?
Answer: 0.00 μB/cell


Question: M_tot of number 2 (SmTmIrPd)?
Answer: 0.00 μB/cell